Entry 1:
A relaxed structure of Ba2ScAl, computed with PBE.

The value obtained for the density is 3.9 Mg/m³. As for the spin magnetization: 0.000 μB per atom. The formation energy is 0.080 eV/atom. As for the total energy: -0.2499 Ry/atom.

abc: 3.9120 6.0280 12.5910
angles: 90.00 90.00 90.00
With the nearest neighbours (Å) after each atom.
Space group Imm2 (No. 44)
One atom of each set of equivalent atoms:
1 Ba 0.0000 0.0000 0.0000 x2  4 Al 3.63, 4 Ba 3.91-3.92, 2 Sc 3.99
2 Ba 0.0000 0.5000 0.1994 x2  2 Al 3.62, 4 Sc 3.78, 4 Ba 3.91-3.92
3 Sc 0.0000 0.5000 0.7918 x2  2 Al 2.86
4 Al 0.0000 0.0000 0.4574 x2  2 Sc 2.86


Entry 2:
A relaxed structure of BaScAl2, computed with PBE.

The value obtained for the density is 3.5 Mg/m³. As for the spin magnetization: 0.000 μB per atom. Its energy relative to the lowest polymorph listed for this composition is 91 meV/atom. The formation energy is -0.123 eV/atom. As for the total energy: -0.2982 Ry/atom.

abc: 4.4977 3.5805 13.7779
angles: 90.00 90.00 90.00
With the nearest neighbours (Å) after each atom.
Space group Amm2 (No. 38)
One atom of each set of equivalent atoms:
1 Ba 0.0000 0.0000 0.0000 x2  7 Al 3.39-3.77, 2 Ba 3.58
2 Sc 0.5000 0.0000 0.7038 x2  6 Al 2.90-2.97
3 Al 0.0000 0.0000 0.2591 x2  2 Al 2.71, 4 Sc 2.97
4 Al 0.5000 0.0000 0.3692 x2  2 Al 2.71, 2 Sc 2.90


Entry 3:
A relaxed structure of BaScAl2, computed with PBE.

The value obtained for the density is 3.9 Mg/m³. As for the spin magnetization: 0.001 μB per atom. Its energy relative to the lowest polymorph listed for this composition is 487 meV/atom. The formation energy is 0.273 eV/atom. As for the total energy: -0.2691 Ry/atom.

abc: 7.3752 7.3752 7.3752
angles: 90.00 90.00 90.00
With the nearest neighbours (Å) after each atom.
Space group F-43m (No. 216)
One atom of each set of equivalent atoms:
1 Ba 0.0000 0.0000 0.0000 x4  4 Al 3.19, 4 Sc 3.19
2 Sc 0.2500 0.2500 0.2500 x4  4 Ba 3.19, 4 Al 3.19
3 Al 0.0000 0.0000 0.5000 x4  4 Sc 3.19, 4 Al 3.19
4 Al 0.2500 0.2500 0.7500 x4  4 Al 3.19, 4 Ba 3.19


Entry 4:
A relaxed structure of Ba2ScAl, computed with PBE.

The value obtained for the density is 3.8 Mg/m³. As for the spin magnetization: 0.000 μB per atom. The formation energy is 0.462 eV/atom. As for the total energy: -0.2218 Ry/atom.

abc: 9.5070 9.5070 6.6584
angles: 90.00 90.00 90.00
With the nearest neighbours (Å) after each atom.
Space group I-42d (No. 122)
One atom of each set of equivalent atoms:
1 Ba 0.2219 0.2500 0.1250 x8  2 Al 3.29, 2 Ba 3.37, 2 Sc 3.65
2 Sc 0.0000 0.0000 0.5000 x4  2 Al 3.33, 4 Ba 3.65
3 Al 0.0000 0.0000 0.0000 x4  4 Ba 3.29, 2 Sc 3.33


Entry 5:
A relaxed structure of BaSc4Al, computed with PBE.

The value obtained for the density is 3.4 Mg/m³. As for the spin magnetization: 0.000 μB per atom. The formation energy is 0.338 eV/atom. As for the total energy: -0.3548 Ry/atom.

abc: 8.7523 8.7523 8.7523
angles: 90.00 90.00 90.00
With the nearest neighbours (Å) after each atom.
Space group F-43m (No. 216)
One atom of each set of equivalent atoms:
1 Ba 0.0000 0.0000 0.0000 x4  12 Sc 3.63, 4 Al 3.79
2 Sc 0.1232 0.1232 0.6232 x16  6 Sc 3.05-3.14
3 Al 0.2500 0.2500 0.2500 x4  12 Sc 3.62, 4 Ba 3.79


Entry 6:
A relaxed structure of Ba2ScAl, computed with PBE.

The value obtained for the density is 3.8 Mg/m³. As for the spin magnetization: 0.001 μB per atom. The formation energy is 0.018 eV/atom. As for the total energy: -0.2544 Ry/atom.

abc: 3.8690 3.8690 10.0096
angles: 90.00 90.00 90.00
With the nearest neighbours (Å) after each atom.
Space group P4mm (No. 99)
One atom of each set of equivalent atoms:
1 Ba 0.0000 0.0000 0.0000 x1  1 Sc 3.51, 4 Al 3.63, 4 Ba 3.87
2 Ba 0.5000 0.5000 0.3797 x1  1 Al 3.82, 4 Sc 3.84, 4 Ba 3.87
3 Sc 0.0000 0.0000 0.6489 x1  4 Al 2.96
4 Al 0.5000 0.5000 0.7613 x1  4 Sc 2.96


Entry 7:
A relaxed structure of Ba2ScAl, computed with PBE.

The value obtained for the density is 4.2 Mg/m³. As for the spin magnetization: 0.000 μB per atom. The formation energy is 0.231 eV/atom. As for the total energy: -0.2388 Ry/atom.

abc: 5.1755 5.1755 10.3424
angles: 90.00 90.00 90.00
With the nearest neighbours (Å) after each atom.
Space group I4/mmm (No. 139)
One atom of each set of equivalent atoms:
1 Ba 0.0000 0.5000 0.2500 x4  4 Sc 3.66, 4 Al 3.66, 4 Ba 3.66
2 Sc 0.0000 0.0000 0.0000 x2  8 Ba 3.66, 4 Al 3.66
3 Al 0.0000 0.0000 0.5000 x2  8 Ba 3.66, 4 Sc 3.66


Entry 8:
A relaxed structure of BaScAl2, computed with PBE.

The value obtained for the density is 3.7 Mg/m³. As for the spin magnetization: 0.000 μB per atom. Its energy relative to the lowest polymorph listed for this composition is 224 meV/atom. The formation energy is 0.010 eV/atom. As for the total energy: -0.2884 Ry/atom.

abc: 7.5073 7.5073 7.5073
angles: 90.00 90.00 90.00
With the nearest neighbours (Å) after each atom.
Space group Fm-3m (No. 225)
One atom of each set of equivalent atoms:
1 Ba 0.0000 0.0000 0.0000 x4  8 Al 3.25
2 Sc 0.0000 0.0000 0.5000 x4  8 Al 3.25
3 Al 0.2500 0.2500 0.2500 x8  4 Sc 3.25, 4 Ba 3.25


> Look up the spin magnetization of the fourth one.

0.000 μB per atom


Repeat the eighth record exactly.
A relaxed structure of BaScAl2, computed with PBE.

The value obtained for the density is 3.7 Mg/m³. As for the spin magnetization: 0.000 μB per atom. Its energy relative to the lowest polymorph listed for this composition is 224 meV/atom. The formation energy is 0.010 eV/atom. As for the total energy: -0.2884 Ry/atom.

abc: 7.5073 7.5073 7.5073
angles: 90.00 90.00 90.00
With the nearest neighbours (Å) after each atom.
Space group Fm-3m (No. 225)
One atom of each set of equivalent atoms:
1 Ba 0.0000 0.0000 0.0000 x4  8 Al 3.25
2 Sc 0.0000 0.0000 0.5000 x4  8 Al 3.25
3 Al 0.2500 0.2500 0.2500 x8  4 Sc 3.25, 4 Ba 3.25